# 1
HoCd2Sb: optimized geometry, PBE.

Output
**Fermi-level density of states**: 0.674 states/eV per atom
**Energy relative to the elements, uncorrected**: 20 kJ/mol of atoms

Unit cell a=3.334 b=3.334 c=11.696 alpha=81.81 beta=81.81 gamma=60.00
Sites, in units of the cell vectors:
Sb 0.500 0.500 0.500
Ho 0.000 0.000 0.000
Cd 0.089 0.089 0.732
Cd 0.911 0.911 0.268

=====

# 2
La6Sm8Sc: optimized geometry, PBE.

Output
**Fermi-level density of states**: 1.639 states/eV per atom
**E_form**: 0.1042 eV per atom

Unit cell a=9.256 b=9.256 c=8.841 alpha=58.43 beta=58.43 gamma=60.00
Sites, in units of the cell vectors:
La 0.461 0.906 0.869
La 0.094 0.235 0.131
La 0.235 0.539 0.131
La 0.765 0.461 0.869
La 0.906 0.765 0.869
La 0.539 0.094 0.131
Sm 0.237 0.291 0.586
Sm 0.709 0.114 0.414
Sm 0.114 0.763 0.414
Sm 0.578 0.578 0.267
Sm 0.422 0.422 0.733
Sm 0.886 0.237 0.586
Sm 0.291 0.886 0.586
Sm 0.763 0.709 0.414
Sc 0.000 0.000 0.000

=====

# 3
InReTe2: optimized geometry, PBE.

Output
**Fermi-level density of states**: 0.744 states/eV per atom
**Energy relative to the elements, uncorrected**: 27 kJ/mol of atoms

Unit cell a=9.947 b=9.947 c=9.947 alpha=19.99 beta=19.99 gamma=19.99
Sites, in units of the cell vectors:
In 0.250 0.250 0.250
Re 0.750 0.750 0.750
Te 0.019 0.019 0.019
Te 0.481 0.481 0.481

=====

# 4
BiIrO2: optimized geometry, PBE.

Output
**Fermi-level density of states**: 0.195 states/eV per atom
**Energy relative to the elements, uncorrected**: -43 kJ/mol of atoms

Unit cell a=6.780 b=6.780 c=6.780 alpha=28.22 beta=28.22 gamma=28.22
Sites, in units of the cell vectors:
Ir 0.500 0.500 0.500
Bi 0.000 0.000 0.000
O 0.877 0.877 0.877
O 0.123 0.123 0.123

=====

# 5
NiP2RhS: optimized geometry, PBE.

Output
**Energy above the lowest structure with this stoichiometry**: 1246 meV/atom
**Fermi-level density of states**: 1.003 states/eV per atom
**Energy relative to the elements, uncorrected**: 86 kJ/mol of atoms

Unit cell a=4.436 b=4.436 c=4.974 alpha=90.00 beta=90.00 gamma=90.00
Site moments in Bohr magnetons follow the coordinates.
Sites, in units of the cell vectors:
Ni 0.500 0.500 0.500  0.82
S 0.000 0.000 0.500  0.11
Rh 0.000 0.000 0.000  -0.01
P 0.000 0.500 0.000  0.01
P 0.500 0.000 0.000  0.01

=====

# 6
Pm5Ag2Au12: optimized geometry, PBE.

Output
**Fermi-level density of states**: 0.527 states/eV per atom
**E_form**: -0.5581 eV per atom

Unit cell a=7.285 b=7.505 c=8.597 alpha=64.12 beta=87.39 gamma=90.00
Sites, in units of the cell vectors:
Pm 0.565 0.753 0.493
Pm 0.040 0.689 0.622
Pm 0.500 0.000 0.000
Pm 0.960 0.311 0.378
Pm 0.435 0.247 0.507
Ag 0.000 0.713 0.000
Ag 0.000 0.287 0.000
Au 0.099 0.119 0.763
Au 0.753 0.342 0.692
Au 0.753 0.966 0.692
Au 0.350 0.407 0.786
Au 0.350 0.807 0.786
Au 0.690 0.555 0.891
Au 0.310 0.445 0.109
Au 0.650 0.593 0.214
Au 0.650 0.193 0.214
Au 0.247 0.658 0.308
Au 0.247 0.034 0.308
Au 0.901 0.881 0.237

=====

# 7
IrSF: optimized geometry, PBE.

Output
**Energy above the lowest structure with this stoichiometry**: 282 meV/atom
**Fermi-level density of states**: 0.687 states/eV per atom
**Energy relative to the elements, uncorrected**: -52 kJ/mol of atoms

Unit cell a=2.909 b=2.790 c=12.040 alpha=90.00 beta=90.00 gamma=90.00
Sites, in units of the cell vectors:
S 0.000 0.000 0.807
S 0.000 0.500 0.307
Ir 0.500 0.000 0.667
Ir 0.500 0.500 0.167
F 0.500 0.000 0.506
F 0.500 0.500 0.006

=====

# 8
Nd2YPu: optimized geometry, PBE.

Output
**Energy above the lowest structure with this stoichiometry**: 154 meV/atom
**Fermi-level density of states**: 3.121 states/eV per atom
**E_form**: 0.2672 eV per atom

Unit cell a=3.517 b=3.517 c=12.636 alpha=82.00 beta=82.00 gamma=60.00
Site moments in Bohr magnetons follow the coordinates.
Sites, in units of the cell vectors:
Y 0.500 0.500 0.500  -0.01
Nd 0.088 0.088 0.736  0.07
Nd 0.912 0.912 0.264  0.07
Pu 0.000 0.000 0.000  5.82

=====

# 9
Ce2ZnCo3As4: optimized geometry, PBE.

Output
**Fermi-level density of states**: 0.762 states/eV per atom
**E_form**: -0.7074 eV per atom

Unit cell a=4.185 b=4.185 c=9.552 alpha=90.00 beta=90.00 gamma=90.00
Site moments in Bohr magnetons follow the coordinates.
Sites, in units of the cell vectors:
Ce 0.500 0.000 0.242  0.21
Ce 0.000 0.500 0.758  0.21
Zn 0.500 0.500 0.500  0.00
Co 0.000 0.000 0.500  -0.22
Co 0.500 0.000 0.888  -0.04
Co 0.000 0.500 0.112  -0.04
As 0.500 0.500 0.000  0.00
As 0.000 0.000 0.000  0.00
As 0.500 0.000 0.644  0.00
As 0.000 0.500 0.356  0.00

=====

# 10
CsBa2DyI8: optimized geometry, PBE.

Output
**Fermi-level density of states**: 0.000 states/eV per atom
**Energy relative to the elements, uncorrected**: -152 kJ/mol of atoms

Unit cell a=7.936 b=7.698 c=10.694 alpha=89.93 beta=89.98 gamma=90.05
Sites, in units of the cell vectors:
Cs 0.000 0.000 0.500
Ba 0.500 0.500 0.755
Ba 0.500 0.500 0.245
Dy 0.000 0.000 0.000
I 0.149 0.769 0.201
I 0.679 0.765 0.000
I 0.850 0.231 0.201
I 0.851 0.231 0.799
I 0.321 0.235 0.000
I 0.150 0.769 0.799
I 0.604 0.745 0.500
I 0.396 0.255 0.500

=====

# 11
SiRh2Se: optimized geometry, PBE.

Output
**Energy above the lowest structure with this stoichiometry**: 112 meV/atom
**Fermi-level density of states**: 0.424 states/eV per atom
**Energy relative to the elements, uncorrected**: -35 kJ/mol of atoms

Unit cell a=3.737 b=3.737 c=6.387 alpha=79.65 beta=79.65 gamma=46.38
Sites, in units of the cell vectors:
Rh 0.006 0.006 0.949
Rh 0.494 0.494 0.551
Se 0.250 0.250 0.250
Si 0.750 0.750 0.750

=====

# 12
Hg4Pd2Pt: optimized geometry, PBE.

Output
**Fermi-level density of states**: 0.644 states/eV per atom
**E_form**: -0.0817 eV per atom

Unit cell a=5.690 b=5.690 c=5.690 alpha=108.51 beta=109.96 gamma=109.96
Sites, in units of the cell vectors:
Hg 0.500 0.000 0.000
Hg 0.500 0.500 0.500
Hg 0.000 0.000 0.500
Hg 0.000 0.500 0.000
Pd 0.500 0.500 0.000
Pd 0.500 0.000 0.500
Pt 0.000 0.000 0.000

=====

Summary of calculated total energy in eV for the cell shown
-9.7; -72.1; -20.4; -24.4; -23.6; -79.4; -33.0; -29.3; -60.1; -40.6; -25.1; -18.2
(order as listed above)